Material: Na5CdSeO2
Method: DFT, GGA-PBE
State: optimized geometry

Calculated volume = 194.7 Å³ per cell
DOS at the Fermi energy = 0.275 states/eV per atom
E_form (uncorrected) = -1.03 eV/atom

Cell and atoms, written as CIF:
```
data_Na5CdSeO2
_space_group_name_H-M_alt 'P 4/m m m'
_space_group_IT_number 123
_space_group_name_Hall '-P 4 2'
_cell_length_a 4.6230
_cell_length_b 4.6230
_cell_length_c 9.1111
_cell_angle_alpha 90.00
_cell_angle_beta 90.00
_cell_angle_gamma 90.00
loop_
_atom_site_label
_atom_site_type_symbol
_atom_site_fract_x
_atom_site_fract_y
_atom_site_fract_z
Na1 Na 0.0000 0.0000 0.0000
Na2 Na 0.0000 0.5000 0.2260
Cd1 Cd 0.0000 0.0000 0.5000
Se1 Se 0.5000 0.5000 0.0000
O1 O 0.0000 0.0000 0.2665
```

***

Material: NaCdSeO4
Method: DFT, GGA-PBE
State: optimized geometry

Calculated volume = 386.3 Å³ per cell
DOS at the Fermi energy = 0.183 states/eV per atom
E_form (uncorrected) = -0.95 eV/atom

Cell and atoms, written as CIF:
```
data_NaCdSeO4
_space_group_name_H-M_alt 'I m m a'
_space_group_IT_number 74
_space_group_name_Hall '-I 2b 2'
_cell_length_a 6.5300
_cell_length_b 6.5563
_cell_length_c 9.0222
_cell_angle_alpha 90.00
_cell_angle_beta 90.00
_cell_angle_gamma 90.00
loop_
_atom_site_label
_atom_site_type_symbol
_atom_site_fract_x
_atom_site_fract_y
_atom_site_fract_z
Na1 Na 0.2500 0.2500 0.2500
Cd1 Cd 0.0000 0.0000 0.0000
Se1 Se 0.0000 0.2500 0.6121
O1 O 0.0000 0.0378 0.7230
O2 O 0.2433 0.2500 0.9894
```

***

Material: NaCdSe2O8
Method: DFT, GGA-PBE
State: optimized geometry

Calculated volume = 539.6 Å³ per cell
DOS at the Fermi energy = 0.940 states/eV per atom
E_form (uncorrected) = -0.77 eV/atom

Cell and atoms, written as CIF:
```
data_NaCdSe2O8
_space_group_name_H-M_alt 'R -3'
_space_group_IT_number 148
_space_group_name_Hall '-R 3'
_cell_length_a 5.1878
_cell_length_b 5.1878
_cell_length_c 23.1508
_cell_angle_alpha 90.00
_cell_angle_beta 90.00
_cell_angle_gamma 120.00
loop_
_atom_site_label
_atom_site_type_symbol
_atom_site_fract_x
_atom_site_fract_y
_atom_site_fract_z
Na1 Na 0.0000 0.0000 0.0000
Cd1 Cd 0.0000 0.0000 0.5000
Se1 Se 0.0000 0.0000 0.2493
O1 O 0.0000 0.0000 0.3217
O2 O 0.0136 0.6990 0.7730
```

***

Material: NaCdSe2O
Method: DFT, GGA-PBE
State: optimized geometry

Calculated volume = 142.3 Å³ per cell
Offset from the most stable computed form = 1.285 eV per atom
DOS at the Fermi energy = 1.718 states/eV per atom
E_form (uncorrected) = 1.00 eV/atom

Cell and atoms, written as CIF:
```
data_NaCdSe2O
_space_group_name_H-M_alt 'P 4/m m m'
_space_group_IT_number 123
_space_group_name_Hall '-P 4 2'
_cell_length_a 5.0400
_cell_length_b 5.0400
_cell_length_c 5.6037
_cell_angle_alpha 90.00
_cell_angle_beta 90.00
_cell_angle_gamma 90.00
loop_
_atom_site_label
_atom_site_type_symbol
_atom_site_fract_x
_atom_site_fract_y
_atom_site_fract_z
Na1 Na 0.0000 0.0000 0.0000
Cd1 Cd 0.0000 0.0000 0.5000
Se1 Se 0.0000 0.5000 0.0000
O1 O 0.5000 0.5000 0.5000
```

***

Material: NaCd2Si3O9
Method: DFT, GGA-PBE
State: optimized geometry

Calculated volume = 383.3 Å³ per cell
DOS at the Fermi energy = 0.037 states/eV per atom
E_form (uncorrected) = -2.11 eV/atom

Cell and atoms, written as CIF:
```
data_NaCd2Si3O9
_space_group_name_H-M_alt 'P -1'
_space_group_IT_number 2
_cell_length_a 6.9872
_cell_length_b 7.0853
_cell_length_c 7.9627
_cell_angle_alpha 95.25
_cell_angle_beta 102.38
_cell_angle_gamma 90.25
loop_
_space_group_symop_operation_xyz
'x,y,z'
'-x,-y,-z'
loop_
_atom_site_label
_atom_site_type_symbol
_atom_site_fract_x
_atom_site_fract_y
_atom_site_fract_z
Na1 Na 0.2375 0.1523 0.4375
Cd1 Cd 0.0885 0.6484 0.8557
Cd2 Cd 0.4138 0.3609 0.1503
Si1 Si 0.0940 0.1606 0.7821
Si2 Si 0.2359 0.6457 0.4540
Si3 Si 0.4510 0.8445 0.2152
O1 O 0.0010 0.9548 0.8066
O2 O 0.0326 0.7704 0.4033
O3 O 0.1104 0.3301 0.9369
O4 O 0.2088 0.4450 0.3330
O5 O 0.2891 0.6275 0.6603
O6 O 0.3100 0.1141 0.7372
O7 O 0.3467 0.0473 0.1804
O8 O 0.3913 0.6766 0.0576
O9 O 0.4096 0.7774 0.3993
```

***

Material: NaCd2SiO4
Method: DFT, GGA-PBE
State: optimized geometry

Calculated volume = 239.3 Å³ per cell
DOS at the Fermi energy = 0.108 states/eV per atom
E_form (uncorrected) = -1.72 eV/atom

Cell and atoms, written as CIF:
```
data_NaCd2SiO4
_space_group_name_H-M_alt 'I -4 2 m'
_space_group_IT_number 121
_space_group_name_Hall 'I -4 2'
_cell_length_a 5.0880
_cell_length_b 5.0880
_cell_length_c 9.2445
_cell_angle_alpha 90.00
_cell_angle_beta 90.00
_cell_angle_gamma 90.00
loop_
_atom_site_label
_atom_site_type_symbol
_atom_site_fract_x
_atom_site_fract_y
_atom_site_fract_z
Na1 Na 0.0000 0.0000 0.0000
Cd1 Cd 0.0000 0.5000 0.2500
Si1 Si 0.0000 0.0000 0.5000
O1 O 0.1922 0.1922 0.6015
```